The following is a DFT calculation (PBE-GGA) of MgZr2TiN after structural relaxation.

Calculated values
- Energy relative to the elements, uncorrected: -3.6 eV per formula unit
- Total energy: -7.699 eV/atom

Cell: 4.582 4.582 4.133 Å, 90.00 90.00 90.00°
Space group P4/mmm (No. 123)
One atom of each set of equivalent atoms:
Mg  0.000  0.000  0.000
Zr  0.000  0.500  0.500
Ti  0.500  0.500  0.000
N  0.500  0.500  0.500